A plane-wave DFT calculation with PBE-GGA was carried out for a relaxed structure of CsNa7Pb5.

Total magnetization: 0.00 μB per formula unit
E_tot: -2.323 eV per atom
Space-group type: No. 44
ΔH_f (0 K): -0.121 eV/atom

a = 6.956 Å, b = 8.682 Å, c = 8.682 Å
α = 81.08°, β = 66.38°, γ = 66.38°
Fractional positions:
Na1 0.990 0.350 0.671
Na2 0.340 0.660 0.660
Na3 0.507 0.206 0.781
Na4 0.271 0.229 0.229
Na5 0.668 0.332 0.332
Na6 0.507 0.781 0.206
Na7 0.990 0.671 0.350
Pb1 0.484 0.000 0.504
Pb2 0.012 0.000 0.504
Pb3 0.730 0.770 0.770
Pb4 0.484 0.504 0.000
Pb5 0.012 0.504 0.000
Cs1 0.006 0.994 0.994